1.
CeCuAg2 | PBE | relaxed

The space group is Cmcm (No. 63) and the conventional cell measures 4.224, 9.989 and 7.708 Å, with angles of 90.00, 90.00 and 90.00 degrees. The inequivalent atoms are Ce at (0.000, 0.067, 0.250), Cu at (0.000, 0.223, 0.750) and Ag at (0.000, 0.359, 0.056).

***

2.
CeCuAg2 | PBE | relaxed

The space group is R-3m (No. 166, hexagonal axes) and the conventional cell measures 2.8968, 2.8968 and 31.7872 Å, with angles of 90.00, 90.00 and 120.00 degrees. The inequivalent atoms are Ce at (0.0000, 0.0000, 0.0000), Cu at (0.0000, 0.0000, 0.5000) and Ag at (0.0000, 0.0000, 0.0987).

***

3.
CeCuAg2 | PBE | relaxed

The space group is P4/mmm (No. 123) and the conventional cell measures 3.161, 3.161 and 7.696 Å, with angles of 90.00, 90.00 and 90.00 degrees. The inequivalent atoms are Ce at (0.000, 0.000, 0.000), Cu at (0.000, 0.000, 0.500) and Ag at (0.500, 0.500, 0.303).

***

4.
Ce2Cu2Ag | PBE | relaxed

The space group is Cmmm (No. 65) and the conventional cell measures 4.333, 13.817 and 3.582 Å, with angles of 90.00, 90.00 and 90.00 degrees. The inequivalent atoms are Ce at (0.000, 0.125, 0.000), Cu at (0.000, 0.298, 0.500) and Ag at (0.000, 0.500, 0.500).

***

Computed formation enthalpy at 0 K, in the same sequence as the records: -0.136; 0.232; 0.021; -0.109 eV/atom.
Computed final energy, in the same sequence as the records: -4.07; -3.70; -3.91; -4.69 eV per atom.